TaTl2VAs: optimized geometry, PBE-GGA.

For the total energy, the calculation gives -24.058 eV/cell.

The space group is P4/mmm (No. 123) and the conventional cell measures 5.502, 5.502 and 4.583 Å, with angles of 90.00, 90.00 and 90.00 degrees. Symmetry generates all atoms from Ta at (0.000, 0.000, 0.000), Tl at (0.000, 0.500, 0.000), V at (0.000, 0.000, 0.500) and As at (0.500, 0.500, 0.500).

---

CuIr2Au: optimized geometry, PBE-GGA.

For the excess energy over the best structure of this formula in the dataset, the calculation gives 0.2801 eV/atom. For the total energy, the calculation gives -23.507 eV/cell.

The space group is P4/mmm (No. 123) and the conventional cell measures 2.751, 2.751 and 7.835 Å, with angles of 90.00, 90.00 and 90.00 degrees. Symmetry generates all atoms from Cu at (0.000, 0.000, 0.000), Ir at (0.500, 0.500, 0.227) and Au at (0.000, 0.000, 0.500).

---

Ho4ScAl2: optimized geometry, PBE-GGA.

For the excess energy over the best structure of this formula in the dataset, the calculation gives 0.2857 eV/atom. For the total energy, the calculation gives -94.114 eV/cell.

The space group is R-3m (No. 166, hexagonal axes) and the conventional cell measures 5.0184, 5.0184 and 28.5549 Å, with angles of 90.00, 90.00 and 120.00 degrees. Symmetry generates all atoms from Ho at (0.0000, 0.0000, 0.1107), Ho at (0.0000, 0.0000, 0.2946), Sc at (0.0000, 0.0000, 0.5000) and Al at (0.0000, 0.0000, 0.4020).